1.
The following is a DFT calculation (PBE) of a geometry-optimized FeTc2Cl structure.

Symmetry = Cm
Final energy = -7.16 eV/atom

The structure in POSCAR format:
```
FeTc2Cl
1.0
4.8677 -0.0076 0.0122
4.0349 2.7229 0.0122
-0.0787 -0.0240 4.2802
Tc Fe Cl
2 1 1
Direct
0.7187 0.7187 0.7773
0.0042 0.0042 0.0165
0.2811 0.2811 0.2330
0.4960 0.4960 0.4731
```


2.
The following is a DFT calculation (PBE) of a geometry-optimized CsYSb2I structure.

Symmetry = P4/mmm
Final energy = -2.56 eV/atom

The structure in POSCAR format:
```
CsYSb2I
1.0
6.0343 0.0000 0.0000
0.0000 6.0343 0.0000
0.0000 0.0000 6.3920
Y Sb Cs I
1 2 1 1
Direct
0.5000 0.5000 0.5000
0.5000 0.0000 0.0000
0.0000 0.5000 0.0000
0.0000 0.0000 0.0000
0.0000 0.0000 0.5000
```


3.
The following is a DFT calculation (PBE) of a geometry-optimized Ac6GeRh2Cl3 structure.

Symmetry = C2/m
Final energy = -5.31 eV/atom

The structure in POSCAR format:
```
Ac6GeRh2Cl3
1.0
7.7003 0.0044 -0.0017
-3.8444 6.6719 -0.0017
-1.2876 -2.2294 7.7398
Ac Cl Rh Ge
6 3 2 1
Direct
0.5806 0.9303 0.7897
0.9303 0.5806 0.7897
0.4194 0.0697 0.2103
0.2790 0.2790 0.7897
0.7210 0.7210 0.2103
0.0697 0.4194 0.2103
0.5000 0.5000 0.5000
0.8412 0.1588 0.5000
0.1588 0.8412 0.5000
0.6670 0.3330 0.0000
0.3330 0.6670 0.0000
0.0000 0.0000 0.0000
```